The following is a PBEsol calculation of an optimized crystal structure of KBePS2, from Alexandria via LeMat-Bulk.

Cell: 5.177 5.177 5.121 Å, 90.00 90.00 90.00°
Fractional coordinates of all 5 atoms:
K1 0.000 0.000 0.000
Be1 0.500 0.500 0.500
P1 0.000 0.000 0.500
S1 0.000 0.500 0.000
S2 0.500 0.000 0.000

Results
- raw formation energy (eV per atom) = 1.942
- energy above the most stable polymorph in this dataset (eV per atom) = 1.9483
- total moment (μB per formula unit) = 0.4


The following is a PBEsol calculation of an optimized crystal structure of KBePb2, from Alexandria via LeMat-Bulk.

Cell: 6.341 6.341 3.260 Å, 101.92 101.92 115.70°
Fractional coordinates of all 4 atoms:
K1 0.000 0.000 0.000
Be1 0.500 0.500 0.000
Pb1 0.000 0.500 0.500
Pb2 0.500 0.000 0.500

Results
- calculated formation energy (eV per formula unit) = 2.3
- total moment (μB per formula unit) = 0.0